The following is a DFT calculation (GGA-PBE) of a relaxed SmY5Hg6 crystal.

abc: 5.2715 7.5008 8.3541
angles: 90.00 108.11 90.00
Positions (direct):
Sm (0.0000, 0.0000, 0.0000)
Y (0.0000, 0.5000, 0.0000)
Y (0.3326, 0.0000, 0.6647)
Y (0.3348, 0.5000, 0.6691)
Y (0.6652, 0.5000, 0.3309)
Y (0.6674, 0.0000, 0.3353)
Hg (0.1677, 0.2531, 0.3365)
Hg (0.1677, 0.7469, 0.3365)
Hg (0.5000, 0.2532, 0.0000)
Hg (0.5000, 0.7468, 0.0000)
Hg (0.8323, 0.2531, 0.6635)
Hg (0.8323, 0.7469, 0.6635)

Computed properties:
Space-group type   No. 10
Energy   -44.886 eV per cell
Fermi-level density of states   0.996 states/eV per atom
Calculated density   9.51 Mg/m³
Crystal system   monoclinic